LaCeGa2Ir2 | PBE | relaxed

Structure (POSCAR):
```
LaCeGa2Ir2
1.0
-4.033 -1.607 -0.912
3.331 -2.773 0.947
-1.783 0.345 7.281
Ga Ir La Ce
2 2 1 1
Direct
0.667 0.333 0.734
0.333 0.667 0.266
0.667 0.333 0.277
0.333 0.667 0.723
0.000 0.000 0.000
0.000 0.000 0.500
```

Properties
E_form	-0.763	eV/atom